VASP calculation (PBE) on a relaxed ZnRu2Rh crystal.

The structure in POSCAR format:
```
ZnRu2Rh
1.0
8.803 -0.012 -0.007
8.380 2.696 -0.007
8.380 1.309 2.356
Zn Rh Ru
1 1 2
direct
0.499 0.499 0.499
0.750 0.750 0.750
0.999 0.999 0.999
0.252 0.252 0.252
```

Calculated values
- mass density (g/cm3) = 10.926
- space-group type = No. 160
- DFT formation energy (eV/f.u.) = 0.04
- E_tot (Ry/atom) = -0.4986